No. 1
This record from Alexandria describes an optimized crystal structure of RuSIO2. The functional is GGA-PBE.

Geometry as POSCAR:
```
RuSIO2
1.0
-2.709 -0.315 2.661
2.040 -2.696 1.757
2.769 4.261 3.322
I Ru S O
1 1 1 2
direct
0.000 0.000 0.500
0.000 0.000 0.000
0.500 0.500 0.500
0.000 0.500 0.000
0.500 0.000 0.000
```

Results
Crystal system: tetragonal
E_tot, eV/cell: -25.41
Uncorrected formation energy, eV/atom: -0.1077
V, Å³/atom: 17.63
Space group: P4/mmm, No. 123

---

No. 2
This record from Alexandria describes an optimized crystal structure of InTc2Se. The functional is GGA-PBE.

Geometry as POSCAR:
```
InTc2Se
1.0
-2.912 0.243 -1.048
-0.196 -3.094 -0.173
-2.293 -0.209 6.321
In Se Tc
1 1 2
direct
0.500 0.500 0.250
0.500 0.500 0.750
0.000 0.000 0.970
0.000 0.000 0.530
```

Results
Crystal system: tetragonal
E_tot, eV/cell: -25.90
Uncorrected formation energy, eV/atom: 0.2643
V, Å³/atom: 16.21
Space group: P4/mmm, No. 123

---

No. 3
This record from Alexandria describes an optimized crystal structure of Rb2CdIr. The functional is GGA-PBE.

Geometry as POSCAR:
```
Rb2CdIr
1.0
4.440 0.000 0.000
0.000 4.440 0.000
2.220 2.220 11.756
Ir Rb Cd
2 4 2
direct
0.000 0.000 0.000
0.750 0.250 0.500
0.631 0.125 0.250
0.119 0.625 0.250
0.375 0.369 0.750
0.875 0.881 0.750
0.500 0.500 0.000
0.250 0.750 0.500
```

Results
Crystal system: tetragonal
E_tot, eV/cell: -16.02
V, Å³/atom: 28.97
Space group: I-42d, No. 122

---

No. 4
This record from Alexandria describes an optimized crystal structure of DyEr12Th7. The functional is GGA-PBE.

Geometry as POSCAR:
```
DyEr12Th7
1.0
8.371 1.245 1.869
-1.132 8.387 1.869
-1.132 -1.506 8.460
Dy Er Th
1 12 7
direct
0.000 0.000 0.000
0.858 0.258 0.724
0.742 0.276 0.142
0.622 0.134 0.497
0.866 0.503 0.378
0.276 0.142 0.742
0.503 0.378 0.866
0.497 0.622 0.134
0.724 0.858 0.258
0.134 0.497 0.622
0.378 0.866 0.503
0.258 0.724 0.858
0.142 0.742 0.276
0.845 0.607 0.920
0.393 0.080 0.155
0.080 0.155 0.393
0.500 0.500 0.500
0.920 0.845 0.607
0.607 0.920 0.845
0.155 0.393 0.080
```

Results
Crystal system: trigonal
E_tot, eV/cell: -105.86
V, Å³/atom: 32.39
Space group: R-3, No. 148